K2NaThSe4 | PBE | relaxed

Energy relative to the elements, uncorrected = -1.3015 eV per atom
Calculated total energy = -4.411 eV per atom
Spin magnetization = 1.96 Bohr magnetons per cell
DOS at the Fermi energy = 0.02 states/eV/atom
SG = Imma

a b c (Å): 9.0585 9.0585 9.0585
angles (deg): 124.74 116.88 88.74
Closest atoms and distances in Å follow each position.
Atoms (fractional coordinates):
1 K 0.0000 0.0000 0.0000  6 Se 3.18-3.46
2 K 0.5000 0.0000 0.0000  6 Se 3.43-3.55
3 K 0.5000 0.0000 0.5000  6 Se 3.18-3.46
4 K 0.5000 0.5000 0.5000  6 Se 3.43-3.55
5 Na 0.0000 0.5000 0.5000  4 Se 2.93
6 Na 0.5000 0.5000 0.0000  4 Se 2.93
7 Th 0.0000 0.0000 0.5000  6 Se 2.92-2.98
8 Th 0.0000 0.5000 0.0000  6 Se 2.92-2.98
9 Se 0.2078 0.2439 0.9640  2 Th 2.92, 1 K 3.18
10 Se 0.2201 0.7561 0.4640  2 Th 2.92, 1 K 3.18
11 Se 0.2280 0.2758 0.5478  2 Na 2.93, 1 Th 2.98
12 Se 0.2280 0.6801 0.9522  2 Na 2.93, 1 Th 2.98
13 Se 0.7720 0.3199 0.0478  2 Na 2.93, 1 Th 2.98
14 Se 0.7720 0.7242 0.4522  2 Na 2.93, 1 Th 2.98
15 Se 0.7799 0.2439 0.5360  2 Th 2.92, 1 K 3.18
16 Se 0.7922 0.7561 0.0360  2 Th 2.92, 1 K 3.18